Entry 1:
# TaNiSn2

An optimized crystal structure of TaNiSn2 (GGA-PBE, OQMD via LeMat-Bulk).

**Spin magnetization**: 0.173 μB/atom
**Calculated total energy**: -5.8015 eV per atom
**SG**: F-43m, No. 216
**Density**: 10.219 g/cm3

Unit cell a=4.7860 b=4.7860 c=4.7860 alpha=60.00 beta=60.00 gamma=60.00
Site moments in Bohr magnetons follow the coordinates.
Fractional coordinates of all 4 atoms:
Sn1 0.0000 0.0000 0.0000  0.04
Ni1 0.5000 0.5000 0.5000  0.06
Sn2 0.7500 0.7500 0.7500  -0.01
Ta1 0.2500 0.2500 0.2500  0.41

=====

Entry 2:
# Ta2NiSn

An optimized crystal structure of Ta2NiSn (GGA-PBE, OQMD via LeMat-Bulk).

**Spin magnetization**: 0.002 μB/atom
**Calculated total energy**: -8.0462 eV per atom
**SG**: F-43m, No. 216
**Density**: 12.820 g/cm3

Unit cell a=4.6228 b=4.6228 c=4.6228 alpha=60.00 beta=60.00 gamma=60.00
Fractional coordinates of all 4 atoms:
Sn1 0.5000 0.5000 0.5000
Ta1 0.0000 0.0000 0.0000
Ta2 0.7500 0.7500 0.7500
Ni1 0.2500 0.2500 0.2500

=====

Entry 3:
# TaZnNiSn

An optimized crystal structure of TaZnNiSn (GGA-PBE, OQMD via LeMat-Bulk).

**Spin magnetization**: 0.014 μB/atom
**Calculated total energy**: -5.3988 eV per atom
**SG**: F-43m, No. 216
**Density**: 10.722 g/cm3

Unit cell a=4.5276 b=4.5276 c=4.5276 alpha=60.00 beta=60.00 gamma=60.00
Fractional coordinates of all 4 atoms:
Zn1 0.5000 0.5000 0.5000
Sn1 0.0000 0.0000 0.0000
Ta1 0.2500 0.2500 0.2500
Ni1 0.7500 0.7500 0.7500

=====

Entry 4:
# TbNiSn

An optimized crystal structure of TbNiSn (GGA-PBE, OQMD via LeMat-Bulk).

**Spin magnetization**: 0.001 μB/atom
**Calculated total energy**: -5.4107 eV per atom
**SG**: Pnma, No. 62
**Density**: 9.103 g/cm3

Unit cell a=7.1480 b=4.4867 c=7.6519 alpha=90.00 beta=90.00 gamma=90.00
Fractional coordinates of all 12 atoms:
Ni1 0.7942 0.2500 0.0832
Tb1 0.4852 0.7500 0.2002
Tb2 0.9852 0.7500 0.2998
Sn1 0.8138 0.7500 0.9125
Ni2 0.2058 0.7500 0.9168
Ni3 0.7058 0.7500 0.5832
Tb3 0.5148 0.2500 0.7998
Tb4 0.0148 0.2500 0.7002
Sn2 0.6862 0.2500 0.4125
Sn3 0.1862 0.2500 0.0875
Sn4 0.3138 0.7500 0.5875
Ni4 0.2942 0.2500 0.4168

=====

Entry 5:
# Tb2NiSn6

An optimized crystal structure of Tb2NiSn6 (GGA-PBE, OQMD via LeMat-Bulk).

**Spin magnetization**: 0.000 μB/atom
**Calculated total energy**: -4.7976 eV per atom
**SG**: Cmmm, No. 65
**Density**: 8.175 g/cm3

Unit cell a=11.5894 b=11.5894 c=4.4368 alpha=90.00 beta=90.00 gamma=158.22
Fractional coordinates of all 9 atoms:
Sn1 0.4306 0.5694 0.0000
Sn2 0.5694 0.4306 0.0000
Tb1 0.6776 0.3224 0.5000
Tb2 0.3224 0.6776 0.5000
Sn3 0.7952 0.2048 0.0000
Sn4 0.0697 0.9303 0.5000
Ni1 0.0000 0.0000 0.0000
Sn5 0.2048 0.7952 0.0000
Sn6 0.9303 0.0697 0.5000

=====

Entry 6:
# Tb12Ni6Sn

An optimized crystal structure of Tb12Ni6Sn (GGA-PBE, OQMD via LeMat-Bulk).

**Spin magnetization**: 0.000 μB/atom
**Calculated total energy**: -5.2880 eV per atom
**SG**: Im-3, No. 204
**Density**: 8.602 g/cm3

Unit cell a=8.4171 b=8.4171 c=8.4171 alpha=109.47 beta=109.47 gamma=109.47
Fractional coordinates of all 19 atoms:
Ni1 0.1234 0.6234 0.5000
Tb1 0.1872 0.3043 0.4915
Ni2 0.5000 0.8766 0.3766
Tb2 0.3043 0.1171 0.8128
Tb3 0.5085 0.8128 0.6957
Tb4 0.3043 0.4915 0.1872
Tb5 0.8128 0.6957 0.5085
Ni3 0.8766 0.3766 0.5000
Tb6 0.8128 0.3043 0.1171
Tb7 0.6957 0.8829 0.1872
Tb8 0.1171 0.8128 0.3043
Ni4 0.6234 0.5000 0.1234
Tb9 0.4915 0.1872 0.3043
Ni5 0.5000 0.1234 0.6234
Sn1 0.0000 0.0000 0.0000
Tb10 0.1872 0.6957 0.8829
Ni6 0.3766 0.5000 0.8766
Tb11 0.8829 0.1872 0.6957
Tb12 0.6957 0.5085 0.8128

=====

Entry 7:
# TbTmNi2Sn

An optimized crystal structure of TbTmNi2Sn (GGA-PBE, OQMD via LeMat-Bulk).

**Spin magnetization**: 0.000 μB/atom
**Calculated total energy**: -5.4666 eV per atom
**SG**: Amm2, No. 38
**Density**: 9.409 g/cm3

Unit cell a=3.6104 b=7.1957 c=7.1957 alpha=32.17 beta=90.00 gamma=90.00
Fractional coordinates of all 5 atoms:
Ni1 0.0000 0.1979 0.1979
Sn1 0.0000 0.0002 0.0002
Tm1 0.5000 0.6371 0.6371
Tb1 0.5000 0.3630 0.3630
Ni2 0.0000 0.8019 0.8019

=====

Entry 8:
# TbY2Ni4Sn4

An optimized crystal structure of TbY2Ni4Sn4 (GGA-PBE, OQMD via LeMat-Bulk).

**Spin magnetization**: 0.000 μB/atom
**Calculated total energy**: -5.6462 eV per atom
**SG**: Immm, No. 71
**Density**: 7.914 g/cm3

Unit cell a=8.2428 b=8.2428 c=8.2428 alpha=149.11 beta=129.64 gamma=60.26
Fractional coordinates of all 11 atoms:
Tb1 0.0000 0.0000 0.0000
Y1 0.3693 0.8693 0.5000
Ni1 0.9872 0.6780 0.3092
Sn1 0.2168 0.2168 0.0000
Y2 0.6307 0.1307 0.5000
Sn2 0.2957 0.5000 0.7957
Sn3 0.7043 0.5000 0.2043
Sn4 0.7832 0.7832 0.0000
Ni2 0.0128 0.3220 0.6908
Ni3 0.6312 0.3220 0.3092
Ni4 0.3688 0.6780 0.6908

=====

Entry 9:
# TbYNi2Sn

An optimized crystal structure of TbYNi2Sn (GGA-PBE, OQMD via LeMat-Bulk).

**Spin magnetization**: 0.001 μB/atom
**Calculated total energy**: -5.8563 eV per atom
**SG**: Amm2, No. 38
**Density**: 7.873 g/cm3

Unit cell a=3.6551 b=7.2419 c=7.2419 alpha=32.17 beta=90.00 gamma=90.00
Fractional coordinates of all 5 atoms:
Tb1 0.5000 0.3635 0.3635
Y1 0.5000 0.6355 0.6355
Sn1 0.0000 0.0004 0.0004
Ni1 0.0000 0.8024 0.8024
Ni2 0.0000 0.1982 0.1982

=====

Entry 10:
# TbYNi2Sn2

An optimized crystal structure of TbYNi2Sn2 (GGA-PBE, OQMD via LeMat-Bulk).

**Spin magnetization**: 0.000 μB/atom
**Calculated total energy**: -5.6735 eV per atom
**SG**: P3m1, No. 156
**Density**: 8.007 g/cm3

Unit cell a=4.4902 b=4.4902 c=7.1581 alpha=90.00 beta=90.00 gamma=120.00
Fractional coordinates of all 6 atoms:
Sn1 0.6667 0.3333 0.9724
Ni1 0.3333 0.6667 0.0396
Y1 0.0000 0.0000 0.7372
Sn2 0.3333 0.6667 0.4736
Ni2 0.6667 0.3333 0.5396
Tb1 0.0000 0.0000 0.2376

=====

Entry 11:
# TcNiSn2

An optimized crystal structure of TcNiSn2 (GGA-PBE, OQMD via LeMat-Bulk).

**Spin magnetization**: 0.216 μB/atom
**Calculated total energy**: -5.4325 eV per atom
**SG**: F-43m, No. 216
**Density**: 9.107 g/cm3

Unit cell a=4.6667 b=4.6667 c=4.6667 alpha=60.00 beta=60.00 gamma=60.00
Site moments in Bohr magnetons follow the coordinates.
Fractional coordinates of all 4 atoms:
Sn1 0.0000 0.0000 0.0000  -0.02
Ni1 0.5000 0.5000 0.5000  0.12
Tc1 0.2500 0.2500 0.2500  0.68
Sn2 0.7500 0.7500 0.7500  0.01

=====

Entry 12:
# TcNiSn

An optimized crystal structure of TcNiSn (GGA-PBE, OQMD via LeMat-Bulk).

**Spin magnetization**: 0.867 μB/atom
**Calculated total energy**: -6.4084 eV per atom
**SG**: F-43m, No. 216
**Density**: 8.737 g/cm3
**Relative energy among the computed polymorphs**: 0 meV/atom

Unit cell a=4.1987 b=4.1987 c=4.1987 alpha=60.00 beta=60.00 gamma=60.00
Fractional coordinates of all 3 atoms:
Ni1 0.0000 0.0000 0.0000
Sn1 0.2500 0.2500 0.2500
Tc1 0.7500 0.7500 0.7500